# 1
## ZrBe3Ir (PBE-GGA)

Data for ZrBe3Ir after structural relaxation.

The structure in POSCAR format:
```
ZrBe3Ir
1.0
-0.276 4.234 -0.631
-1.711 0.470 3.905
3.924 0.503 1.658
Be Zr Ir
3 1 1
Direct
0.000 0.000 0.500
0.000 0.500 0.000
0.500 0.000 0.000
0.000 0.000 0.000
0.500 0.500 0.500
```

Properties
ΔE_f in kJ per mole of atoms: 195
E_tot in hartree per atom: -0.1358

# 2
## Th3SbRh (PBE-GGA)

Data for Th3SbRh after structural relaxation.

The structure in POSCAR format:
```
Th3SbRh
1.0
5.142 0.000 0.000
0.000 7.847 0.000
0.000 -3.924 7.475
Rh Th Sb
2 6 2
Direct
0.500 0.901 0.803
0.500 0.099 0.197
0.500 0.000 0.500
0.500 0.500 0.500
0.000 0.876 0.751
0.500 0.314 0.000
0.000 0.124 0.249
0.500 0.686 0.000
0.000 0.646 0.293
0.000 0.354 0.707
```

Properties
ΔE_f (raw) in kJ/mol of atoms: -43.91
E_tot in hartree per atom: -0.2647